Material: RePCl2F
Method: DFT, PBE
State: optimized geometry

Properties
* SG: P4/mmm
* distance to the lowest polymorph of the same formula: 1051.7 meV/atom
* DOS at the Fermi energy: 0.80 states/eV/atom
* DFT total energy: -3.5566 eV/atom
* formation energy from raw total energies: 1128 meV/atom

a = 4.928 Å, b = 4.928 Å, c = 3.525 Å
α = 90.00°, β = 90.00°, γ = 90.00°
Fractional positions:
Re: 0.500 0.500 0.500
F: 0.000 0.000 0.000
P: 0.000 0.000 0.500
Cl: 0.000 0.500 0.000
Cl: 0.500 0.000 0.000

=====

Material: LiIO4
Method: DFT, PBE
State: optimized geometry

Properties
* SG: P2_1/c
* distance to the lowest polymorph of the same formula: 15.2 meV/atom
* DOS at the Fermi energy: 0.00 states/eV/atom
* DFT total energy: -4.5099 eV/atom
* formation energy from raw total energies: -627 meV/atom

a = 8.687 Å, b = 5.285 Å, c = 9.373 Å
α = 65.50°, β = 90.00°, γ = 90.00°
Fractional positions:
I: 0.221 0.859 0.045
I: 0.721 0.141 0.455
I: 0.779 0.141 0.955
I: 0.279 0.859 0.545
Li: 0.455 0.280 0.162
Li: 0.955 0.720 0.338
Li: 0.545 0.720 0.838
Li: 0.045 0.280 0.662
O: 0.399 0.699 0.025
O: 0.899 0.301 0.475
O: 0.601 0.301 0.975
O: 0.101 0.699 0.525
O: 0.129 0.616 0.218
O: 0.629 0.384 0.282
O: 0.871 0.384 0.782
O: 0.371 0.616 0.718
O: 0.266 0.179 0.058
O: 0.766 0.821 0.442
O: 0.734 0.821 0.942
O: 0.234 0.179 0.558
O: 0.102 0.930 0.876
O: 0.602 0.070 0.624
O: 0.898 0.070 0.124
O: 0.398 0.930 0.376

=====

Material: LiLaSe4
Method: DFT, PBE
State: optimized geometry

Properties
* SG: F-43m
* DOS at the Fermi energy: 0.73 states/eV/atom
* DFT total energy: -3.8275 eV/atom
* formation energy from raw total energies: -364 meV/atom

a = 5.899 Å, b = 5.899 Å, c = 5.899 Å
α = 60.00°, β = 60.00°, γ = 60.00°
Fractional positions:
Li: 0.000 0.000 0.000
La: 0.750 0.750 0.750
Se: 0.876 0.375 0.375
Se: 0.375 0.375 0.876
Se: 0.375 0.876 0.375
Se: 0.375 0.375 0.375

=====

Material: AlNi2Ag
Method: DFT, PBE
State: optimized geometry

Properties
* SG: Pmm2
* DOS at the Fermi energy: 0.68 states/eV/atom
* DFT total energy: -4.6546 eV/atom
* E_form: -0.115 eV per atom

a = 2.951 Å, b = 3.029 Å, c = 5.972 Å
α = 90.00°, β = 90.00°, γ = 90.00°
Fractional positions:
Ni: 0.000 0.000 0.997
Ni: 0.500 0.500 0.217
Al: 0.500 0.500 0.792
Ag: 0.000 0.000 0.493

=====

Material: VReAs2Se
Method: DFT, PBE
State: optimized geometry

Properties
* SG: P4/mmm
* distance to the lowest polymorph of the same formula: 12.1 meV/atom
* DOS at the Fermi energy: 1.92 states/eV/atom
* DFT total energy: -5.7812 eV/atom
* formation energy from raw total energies: 1089 meV/atom

a = 4.676 Å, b = 4.676 Å, c = 5.387 Å
α = 90.00°, β = 90.00°, γ = 90.00°
Fractional positions:
Re: 0.000 0.000 0.000
As: 0.000 0.500 0.000
As: 0.500 0.000 0.000
Se: 0.000 0.000 0.500
V: 0.500 0.500 0.500

=====

Material: CdAuCl2
Method: DFT, PBE
State: optimized geometry

Properties
* SG: I-4m2
* distance to the lowest polymorph of the same formula: 295.6 meV/atom
* DOS at the Fermi energy: 0.42 states/eV/atom
* DFT total energy: -2.1013 eV/atom
* formation energy from raw total energies: -130 meV/atom

a = 6.791 Å, b = 6.791 Å, c = 6.791 Å
α = 146.71°, β = 146.71°, γ = 47.79°
Fractional positions:
Cl: 0.000 0.000 0.000
Cl: 0.250 0.750 0.500
Au: 0.500 0.500 0.000
Cd: 0.750 0.250 0.500

=====

Material: Na2CO
Method: DFT, PBE
State: optimized geometry

Properties
* SG: Fm-3m
* distance to the lowest polymorph of the same formula: 182.1 meV/atom
* DOS at the Fermi energy: 0.72 states/eV/atom
* DFT total energy: -3.4257 eV/atom
* formation energy from raw total energies: 779 meV/atom

a = 4.224 Å, b = 4.224 Å, c = 4.224 Å
α = 60.00°, β = 60.00°, γ = 60.00°
Fractional positions:
Na: 0.250 0.250 0.250
Na: 0.750 0.750 0.750
C: 0.000 0.000 0.000
O: 0.500 0.500 0.500

=====

Material: Dy4HoEr7
Method: DFT, PBE
State: optimized geometry

Properties
* SG: P-1
* distance to the lowest polymorph of the same formula: 0.0 meV/atom
* DOS at the Fermi energy: 1.66 states/eV/atom
* DFT total energy: -4.4863 eV/atom
* E_form: 0.091 eV per atom

a = 6.717 Å, b = 6.435 Å, c = 11.592 Å
α = 74.94°, β = 50.25°, γ = 81.72°
Fractional positions:
Dy: 0.523 0.639 0.285
Dy: 0.477 0.361 0.715
Dy: 0.692 0.839 0.691
Dy: 0.308 0.161 0.309
Ho: 0.000 0.000 0.000
Er: 0.802 0.515 0.949
Er: 0.198 0.485 0.051
Er: 0.059 0.316 0.642
Er: 0.941 0.684 0.358
Er: 0.280 0.810 0.613
Er: 0.500 0.000 0.000
Er: 0.720 0.190 0.387

=====

Material: Hf6TlBi
Method: DFT, PBE
State: optimized geometry

Properties
* SG: P-1
* distance to the lowest polymorph of the same formula: 0.0 meV/atom
* DOS at the Fermi energy: 1.23 states/eV/atom
* DFT total energy: -8.2356 eV/atom
* E_form: 0.010 eV per atom

a = 7.986 Å, b = 7.975 Å, c = 5.632 Å
α = 44.97°, β = 44.86°, γ = 59.89°
Fractional positions:
Hf: 0.000 0.499 0.749
Hf: 0.752 0.000 0.751
Hf: 0.500 0.248 0.252
Hf: 0.248 0.000 0.249
Hf: 0.000 0.501 0.251
Hf: 0.500 0.752 0.748
Tl: 0.000 0.000 0.000
Bi: 0.500 0.500 0.500

=====

Material: PrScPd
Method: DFT, PBE
State: optimized geometry

Properties
* SG: I4mm
* distance to the lowest polymorph of the same formula: 88.6 meV/atom
* DOS at the Fermi energy: 0.96 states/eV/atom
* DFT total energy: -5.9299 eV/atom
* E_form: -0.495 eV per atom

a = 3.481 Å, b = 3.481 Å, c = 6.519 Å
α = 105.48°, β = 105.48°, γ = 90.00°
Fractional positions:
Pr: 0.014 0.014 0.029
Sc: 0.296 0.296 0.591
Pd: 0.690 0.690 0.380

=====

Material: Sr2AgRh
Method: DFT, PBE
State: optimized geometry

Properties
* SG: P2_1/m
* DOS at the Fermi energy: 0.42 states/eV/atom
* DFT total energy: -3.6477 eV/atom
* E_form: -0.256 eV per atom

a = 4.529 Å, b = 6.199 Å, c = 8.707 Å
α = 111.09°, β = 90.00°, γ = 90.00°
Fractional positions:
Sr: 0.750 0.213 0.439
Sr: 0.250 0.787 0.561
Sr: 0.250 0.771 0.079
Sr: 0.750 0.229 0.921
Ag: 0.250 0.354 0.216
Ag: 0.750 0.646 0.784
Rh: 0.750 0.632 0.282
Rh: 0.250 0.368 0.718

=====

Material: Rb3CaF6
Method: DFT, PBE
State: optimized geometry

Properties
* SG: P1
* DOS at the Fermi energy: 1.52 states/eV/atom
* DFT total energy: -4.3942 eV/atom
* formation energy from raw total energies: -2781 meV/atom

a = 6.917 Å, b = 6.890 Å, c = 6.759 Å
α = 94.79°, β = 63.59°, γ = 129.95°
Fractional positions:
Ca: 0.000 0.000 0.000
Rb: 0.539 0.762 0.696
Rb: 0.461 0.238 0.305
Rb: 0.001 0.501 0.499
F: 0.487 0.360 0.893
F: 0.217 0.888 0.729
F: 0.784 0.112 0.271
F: 0.513 0.638 0.106
F: 0.058 0.221 0.715
F: 0.941 0.779 0.285